[1]
BaIn2NiHg | PBE | optimized geometry

Summary:
Crystal system   tetragonal
V   30.1 Å³/atom
Relative energy among the computed polymorphs   0.061 eV/atom

a b c (Å): 5.0342 5.0342 5.9399
angles (deg): 90.00 90.00 90.00
Fractional coordinates of all 5 atoms:
Ba  0.0000  0.0000  0.0000
In  0.0000  0.5000  0.5000
In  0.5000  0.0000  0.5000
Ni  0.0000  0.0000  0.5000
Hg  0.5000  0.5000  0.0000

=====

[2]
BaIn2NiHg | PBE | optimized geometry

Summary:
Crystal system   tetragonal
V   26.9 Å³/atom
Relative energy among the computed polymorphs   0.000 eV/atom

a b c (Å): 5.0725 5.0725 5.2341
angles (deg): 90.00 90.00 90.00
Fractional coordinates of all 5 atoms:
Ba  0.0000  0.0000  0.0000
In  0.0000  0.5000  0.5000
In  0.5000  0.0000  0.5000
Ni  0.5000  0.5000  0.5000
Hg  0.5000  0.5000  0.0000

=====

[3]
Ba2In4Hg3Pb | PBE | optimized geometry

Summary:
Crystal system   tetragonal
V   31.1 Å³/atom

a b c (Å): 5.0597 5.0597 12.1378
angles (deg): 90.00 90.00 90.00
Fractional coordinates of all 10 atoms:
Ba  0.0000  0.5000  0.2491
Ba  0.5000  0.0000  0.7509
In  0.0000  0.0000  0.0000
In  0.0000  0.5000  0.6371
In  0.5000  0.0000  0.3629
In  0.5000  0.5000  0.0000
Hg  0.0000  0.5000  0.8701
Hg  0.5000  0.0000  0.1299
Hg  0.5000  0.5000  0.5000
Pb  0.0000  0.0000  0.5000

=====

[4]
Ba2In3Hg4Pb | PBE | optimized geometry

Summary:
Crystal system   tetragonal
V   31.0 Å³/atom

a b c (Å): 5.0627 5.0627 12.0759
angles (deg): 90.00 90.00 90.00
Fractional coordinates of all 10 atoms:
Ba  0.0000  0.5000  0.2406
Ba  0.5000  0.0000  0.7594
In  0.0000  0.5000  0.8763
In  0.5000  0.0000  0.1237
In  0.5000  0.5000  0.5000
Hg  0.0000  0.0000  0.0000
Hg  0.0000  0.5000  0.6421
Hg  0.5000  0.0000  0.3579
Hg  0.5000  0.5000  0.0000
Pb  0.0000  0.0000  0.5000

=====

[5]
Ba2In3HgPb4 | PBE | optimized geometry

Summary:
Crystal system   tetragonal
V   34.3 Å³/atom

a b c (Å): 5.4750 5.4750 11.4543
angles (deg): 90.00 90.00 90.00
Fractional coordinates of all 10 atoms:
Ba  0.0000  0.5000  0.2466
Ba  0.5000  0.0000  0.7534
In  0.0000  0.0000  0.0000
In  0.0000  0.5000  0.6237
In  0.5000  0.0000  0.3763
Hg  0.5000  0.5000  0.0000
Pb  0.0000  0.0000  0.5000
Pb  0.0000  0.5000  0.8795
Pb  0.5000  0.0000  0.1205
Pb  0.5000  0.5000  0.5000

=====

[6]
Ba2InHg6Pb | PBE | optimized geometry

Summary:
Crystal system   cubic
V   37.2 Å³/atom

a b c (Å): 8.0758 8.0758 8.0758
angles (deg): 60.00 60.00 60.00
Fractional coordinates of all 10 atoms:
Ba  0.2500  0.2500  0.2500
Ba  0.7500  0.7500  0.7500
In  0.0000  0.0000  0.0000
Hg  0.2451  0.2451  0.7549
Hg  0.2451  0.7549  0.2451
Hg  0.2451  0.7549  0.7549
Hg  0.7549  0.2451  0.2451
Hg  0.7549  0.2451  0.7549
Hg  0.7549  0.7549  0.2451
Pb  0.5000  0.5000  0.5000

=====

[7]
BaIn2HgPb | PBE | optimized geometry

Summary:
Crystal system   orthorhombic
V   32.0 Å³/atom
Relative energy among the computed polymorphs   0.000 eV/atom

a b c (Å): 7.1605 7.1605 7.1605
angles (deg): 138.70 138.11 60.29
Fractional coordinates of all 5 atoms:
Ba  0.0000  0.0000  0.0000
In  0.3817  0.3817  0.0000
In  0.7452  0.2452  0.5000
Hg  0.6091  0.6091  0.0000
Pb  0.2447  0.7447  0.5000

=====

[8]
BaInHgPb | PBE | optimized geometry

Summary:
Crystal system   cubic
V   32.3 Å³/atom
Relative energy among the computed polymorphs   0.000 eV/atom

a b c (Å): 5.6745 5.6745 5.6745
angles (deg): 60.00 60.00 60.00
Fractional coordinates of all 4 atoms:
Ba  0.0000  0.0000  0.0000
In  0.7500  0.7500  0.7500
Hg  0.2500  0.2500  0.2500
Pb  0.5000  0.5000  0.5000

=====

[9]
Ba2InHg4Pb3 | PBE | optimized geometry

Summary:
Crystal system   tetragonal
V   32.4 Å³/atom

a b c (Å): 5.1270 5.1270 12.3441
angles (deg): 90.00 90.00 90.00
Fractional coordinates of all 10 atoms:
Ba  0.0000  0.5000  0.2409
Ba  0.5000  0.0000  0.7591
In  0.0000  0.0000  0.5000
Hg  0.0000  0.0000  0.0000
Hg  0.0000  0.5000  0.6312
Hg  0.5000  0.0000  0.3688
Hg  0.5000  0.5000  0.0000
Pb  0.0000  0.5000  0.8670
Pb  0.5000  0.0000  0.1330
Pb  0.5000  0.5000  0.5000

=====

[10]
BaIn2HgPb | PBE | optimized geometry

Summary:
Crystal system   tetragonal
V   59.9 Å³/atom
Relative energy among the computed polymorphs   0.611 eV/atom

a b c (Å): 6.3444 6.3444 7.4384
angles (deg): 90.00 90.00 90.00
Fractional coordinates of all 5 atoms:
Ba  0.0000  0.0000  0.0000
In  0.0000  0.5000  0.5000
In  0.5000  0.0000  0.5000
Hg  0.5000  0.5000  0.0000
Pb  0.0000  0.0000  0.5000

=====

[11]
BaInHgPb | PBE | optimized geometry

Summary:
Crystal system   monoclinic
V   36.8 Å³/atom
Relative energy among the computed polymorphs   0.026 eV/atom

a b c (Å): 6.4026 6.4026 5.3748
angles (deg): 110.19 110.19 46.05
Fractional coordinates of all 4 atoms:
Ba  0.0000  0.0000  0.0000
In  0.7493  0.7493  0.3272
Hg  0.6550  0.6550  0.7441
Pb  0.3905  0.3905  0.3578

=====

[12]
BaInHgPd3 | PBE | optimized geometry

Summary:
Crystal system   orthorhombic
V   25.2 Å³/atom

a b c (Å): 7.1672 7.1672 7.2743
angles (deg): 90.00 90.00 126.04
Fractional coordinates of all 12 atoms:
Ba  0.1879  0.8121  0.7500
Ba  0.8121  0.1879  0.2500
In  0.1252  0.8748  0.2500
In  0.8748  0.1252  0.7500
Hg  0.4451  0.5549  0.7500
Hg  0.5549  0.4451  0.2500
Pd  0.2112  0.2112  0.0000
Pd  0.2112  0.2112  0.5000
Pd  0.3350  0.6650  0.2500
Pd  0.6650  0.3350  0.7500
Pd  0.7888  0.7888  0.0000
Pd  0.7888  0.7888  0.5000

=====

[13]
Ba2InHgPd6 | PBE | optimized geometry

Summary:
Crystal system   triclinic
V   24.3 Å³/atom

a b c (Å): 5.6368 7.0755 7.2233
angles (deg): 81.32 67.05 66.54
Fractional coordinates of all 10 atoms:
Ba  0.0402  0.2158  0.2036
Ba  0.9598  0.7842  0.7964
In  0.5000  0.0000  0.5000
Hg  0.5000  0.5000  0.0000
Pd  0.0037  0.2547  0.7338
Pd  0.3308  0.4198  0.4210
Pd  0.4920  0.7462  0.2653
Pd  0.5080  0.2538  0.7347
Pd  0.6692  0.5802  0.5790
Pd  0.9963  0.7453  0.2662

=====

[14]
BaPm2In2Hg2 | PBE | optimized geometry

Summary:
Crystal system   trigonal
V   31.9 Å³/atom

a b c (Å): 10.3826 10.3826 10.3826
angles (deg): 28.39 28.39 28.39
Fractional coordinates of all 7 atoms:
Ba  0.0000  0.0000  0.0000
Pm  0.1348  0.1348  0.1348
Pm  0.8652  0.8652  0.8652
In  0.2546  0.2546  0.2546
In  0.7454  0.7454  0.7454
Hg  0.4361  0.4361  0.4361
Hg  0.5639  0.5639  0.5639

=====

[15]
Ba2PmIn3Hg12 | PBE | optimized geometry

Summary:
Crystal system   trigonal
V   31.1 Å³/atom

a b c (Å): 13.6485 13.6485 13.6485
angles (deg): 29.91 29.91 29.91
Fractional coordinates of all 18 atoms:
Ba  0.1380  0.1380  0.1380
Ba  0.8620  0.8620  0.8620
Pm  0.5000  0.5000  0.5000
In  0.0000  0.5000  0.5000
In  0.5000  0.0000  0.5000
In  0.5000  0.5000  0.0000
Hg  0.0932  0.0932  0.6520
Hg  0.0934  0.6188  0.6188
Hg  0.0932  0.6520  0.0932
Hg  0.3480  0.9068  0.9068
Hg  0.3812  0.3812  0.9066
Hg  0.3812  0.9066  0.3812
Hg  0.6188  0.0934  0.6188
Hg  0.6188  0.6188  0.0934
Hg  0.6520  0.0932  0.0932
Hg  0.9068  0.3480  0.9068
Hg  0.9066  0.3812  0.3812
Hg  0.9068  0.9068  0.3480

=====

[16]
BaPmInHg | PBE | optimized geometry

Summary:
Crystal system   cubic
V   33.1 Å³/atom

a b c (Å): 5.7197 5.7197 5.7197
angles (deg): 60.00 60.00 60.00
Fractional coordinates of all 4 atoms:
Ba  0.0000  0.0000  0.0000
Pm  0.5000  0.5000  0.5000
In  0.7500  0.7500  0.7500
Hg  0.2500  0.2500  0.2500

=====

[17]
BaPr2In2Hg2 | PBE | optimized geometry

Summary:
Crystal system   trigonal
V   32.6 Å³/atom

a b c (Å): 10.5922 10.5922 10.5922
angles (deg): 27.81 27.81 27.81
Fractional coordinates of all 7 atoms:
Ba  0.0000  0.0000  0.0000
Pr  0.1304  0.1304  0.1304
Pr  0.8696  0.8696  0.8696
In  0.2507  0.2507  0.2507
In  0.7493  0.7493  0.7493
Hg  0.4172  0.4172  0.4172
Hg  0.5828  0.5828  0.5828

=====

[18]
Ba2PrIn3Hg12 | PBE | optimized geometry

Summary:
Crystal system   trigonal
V   31.4 Å³/atom

a b c (Å): 13.6705 13.6705 13.6705
angles (deg): 29.96 29.96 29.96
Fractional coordinates of all 18 atoms:
Ba  0.1376  0.1376  0.1376
Ba  0.8624  0.8624  0.8624
Pr  0.5000  0.5000  0.5000
In  0.0000  0.5000  0.5000
In  0.5000  0.0000  0.5000
In  0.5000  0.5000  0.0000
Hg  0.0904  0.6194  0.6194
Hg  0.0931  0.0931  0.6536
Hg  0.0931  0.6536  0.0931
Hg  0.3464  0.9069  0.9069
Hg  0.3806  0.3806  0.9096
Hg  0.3806  0.9096  0.3806
Hg  0.6194  0.0904  0.6194
Hg  0.6194  0.6194  0.0904
Hg  0.6536  0.0931  0.0931
Hg  0.9069  0.3464  0.9069
Hg  0.9069  0.9069  0.3464
Hg  0.9096  0.3806  0.3806

=====

[19]
BaIn2HgPt | PBE | optimized geometry

Summary:
Crystal system   tetragonal
V   34.9 Å³/atom
Relative energy among the computed polymorphs   0.000 eV/atom

a b c (Å): 5.2793 5.2793 6.2682
angles (deg): 90.00 90.00 90.00
Fractional coordinates of all 5 atoms:
Ba  0.0000  0.0000  0.0000
In  0.0000  0.5000  0.5000
In  0.5000  0.0000  0.5000
Hg  0.5000  0.5000  0.0000
Pt  0.0000  0.0000  0.5000

=====

[20]
Ba2In12HgPt3 | PBE | optimized geometry

Summary:
Crystal system   trigonal
V   32.3 Å³/atom

a b c (Å): 8.8406 8.8406 8.8406
angles (deg): 68.98 68.98 68.98
Fractional coordinates of all 18 atoms:
Ba  0.0969  0.0969  0.0969
Ba  0.9031  0.9031  0.9031
In  0.1256  0.6382  0.6382
In  0.2205  0.2205  0.6155
In  0.2205  0.6155  0.2205
In  0.3618  0.3618  0.8744
In  0.3618  0.8744  0.3618
In  0.3845  0.7795  0.7795
In  0.6155  0.2205  0.2205
In  0.6382  0.1256  0.6382
In  0.6382  0.6382  0.1256
In  0.7795  0.3845  0.7795
In  0.7795  0.7795  0.3845
In  0.8744  0.3618  0.3618
Hg  0.5000  0.5000  0.5000
Pt  0.0000  0.5000  0.5000
Pt  0.5000  0.0000  0.5000
Pt  0.5000  0.5000  0.0000

=====

The calculation returns the following ΔH_f (0 K) values, one per record and in order: -101.8, -131.3, -348.7, -348.7, -254.5, -107.2, -168.3, -129.0, -313.6, 126.5, -118.9, -178.7, -452.8, -252.7, -286.1, -139.9, -253.6, -280.0, -201.5, -300.3 kJ/mol of formula units.
The calculation returns the following D(E_F) values, one per record and in order: 0.577, 0.668, 0.344, 0.568, 0.412, 0.596, 0.294, 0.752, 0.374, 1.258, 0.418, 0.435, 0.407, 0.380, 0.687, 0.903, 0.440, 0.673, 0.468, 0.638 states/eV/atom.